(1)
Entry from Alexandria: an optimized crystal structure of CsScV2 (GGA-PBE).

**Volume**: 405 Å³ per cell
**E_form**: 1499.7 meV/atom
**SG**: Fm-3m, No. 225

abc: 7.3983 7.3983 7.3983
angles: 90.00 90.00 90.00
With the nearest neighbours (Å) after each atom.
Fractional positions:
Cs (0.0000, 0.0000, 0.0000)  8 V 3.20
Cs (0.0000, 0.5000, 0.5000)  8 V 3.20
Cs (0.5000, 0.0000, 0.5000)  8 V 3.20
Cs (0.5000, 0.5000, 0.0000)  8 V 3.20
Sc (0.0000, 0.0000, 0.5000)  8 V 3.20
Sc (0.0000, 0.5000, 0.0000)  8 V 3.20
Sc (0.5000, 0.0000, 0.0000)  8 V 3.20
Sc (0.5000, 0.5000, 0.5000)  8 V 3.20
V (0.2500, 0.2500, 0.2500)  4 Sc 3.20, 4 Cs 3.20
V (0.2500, 0.2500, 0.7500)  4 Sc 3.20, 4 Cs 3.20
V (0.2500, 0.7500, 0.2500)  4 Sc 3.20, 4 Cs 3.20
V (0.2500, 0.7500, 0.7500)  4 Sc 3.20, 4 Cs 3.20
V (0.7500, 0.2500, 0.2500)  4 Sc 3.20, 4 Cs 3.20
V (0.7500, 0.2500, 0.7500)  4 Sc 3.20, 4 Cs 3.20
V (0.7500, 0.7500, 0.2500)  4 Sc 3.20, 4 Cs 3.20
V (0.7500, 0.7500, 0.7500)  4 Sc 3.20, 4 Cs 3.20

=====

(2)
Entry from Alexandria: an optimized crystal structure of Th2In5Rh3 (GGA-PBE).

**Volume**: 445 Å³ per cell
**E_form**: -564.3 meV/atom
**SG**: Cmc2_1, No. 36

abc: 13.5554 13.5554 7.6032
angles: 90.00 90.00 161.43
With the nearest neighbours (Å) after each atom.
Fractional positions:
Th (0.0287, 0.9713, 0.5000)  1 Rh 2.73
Th (0.3232, 0.6768, 0.6228)  4 Rh 3.08-3.20, 6 In 3.28-3.43
Th (0.6768, 0.3232, 0.1228)  4 Rh 3.08-3.20, 6 In 3.28-3.43
Th (0.9713, 0.0287, 0.0000)  1 Rh 2.73
In (0.0981, 0.9019, 0.8985)  3 Rh 2.79-2.96, 1 In 3.00
In (0.2064, 0.7936, 0.4297)  4 Rh 2.76-2.80, 1 In 2.97
In (0.2080, 0.7920, 0.8203)  3 Rh 2.74-2.77, 2 In 2.97-3.00
In (0.3710, 0.6290, 0.0556)  4 Rh 2.85-3.04, 2 In 3.16
In (0.4464, 0.5536, 0.6598)  4 Rh 2.74-2.91
In (0.5536, 0.4464, 0.1598)  4 Rh 2.74-2.91
In (0.6290, 0.3710, 0.5556)  4 Rh 2.85-3.04, 2 In 3.16
In (0.7920, 0.2080, 0.3203)  3 Rh 2.74-2.77, 2 In 2.97-3.00
In (0.7936, 0.2064, 0.9297)  4 Rh 2.76-2.80, 1 In 2.97
In (0.9019, 0.0981, 0.3985)  3 Rh 2.79-2.96, 1 In 3.00
Rh (0.1104, 0.8896, 0.2849)  1 Th 2.73, 6 In 2.80-3.04
Rh (0.2639, 0.7361, 0.1276)  7 In 2.74-2.92
Rh (0.4569, 0.5431, 0.2785)  5 In 2.74-2.91, 2 Th 3.07
Rh (0.5431, 0.4569, 0.7785)  5 In 2.74-2.91, 2 Th 3.07
Rh (0.7361, 0.2639, 0.6276)  7 In 2.74-2.92
Rh (0.8896, 0.1104, 0.7849)  1 Th 2.73, 6 In 2.80-3.04

=====

(3)
Entry from Alexandria: an optimized crystal structure of YTiCoCu (GGA-PBE).

**Volume**: 270 Å³ per cell
**E_form**: -53.7 meV/atom
**SG**: F-43m, No. 216

abc: 6.4629 6.4629 6.4629
angles: 90.00 90.00 90.00
With the nearest neighbours (Å) after each atom.
Fractional positions:
Y (0.0000, 0.0000, 0.0000)  4 Cu 2.80, 4 Co 2.80
Y (0.0000, 0.5000, 0.5000)  4 Cu 2.80, 4 Co 2.80
Y (0.5000, 0.0000, 0.5000)  4 Cu 2.80, 4 Co 2.80
Y (0.5000, 0.5000, 0.0000)  4 Cu 2.80, 4 Co 2.80
Ti (0.0000, 0.0000, 0.5000)  4 Co 2.80, 4 Cu 2.80
Ti (0.0000, 0.5000, 0.0000)  4 Co 2.80, 4 Cu 2.80
Ti (0.5000, 0.0000, 0.0000)  4 Co 2.80, 4 Cu 2.80
Ti (0.5000, 0.5000, 0.5000)  4 Co 2.80, 4 Cu 2.80
Co (0.2500, 0.2500, 0.2500)  4 Y 2.80, 4 Ti 2.80
Co (0.2500, 0.7500, 0.7500)  4 Y 2.80, 4 Ti 2.80
Co (0.7500, 0.2500, 0.7500)  4 Y 2.80, 4 Ti 2.80
Co (0.7500, 0.7500, 0.2500)  4 Y 2.80, 4 Ti 2.80
Cu (0.2500, 0.2500, 0.7500)  4 Ti 2.80, 4 Y 2.80
Cu (0.2500, 0.7500, 0.2500)  4 Ti 2.80, 4 Y 2.80
Cu (0.7500, 0.2500, 0.2500)  4 Ti 2.80, 4 Y 2.80
Cu (0.7500, 0.7500, 0.7500)  4 Ti 2.80, 4 Y 2.80